{"formula": "KBa2GaRh", "functional": "PBE", "state": "optimized geometry", "lattice": [[6.171, 0.000, 0.000], [0.000, 6.171, 0.000], [0.000, 0.000, 5.040]], "species": ["K", "Ba", "Ba", "Ga", "Rh"], "fractional_positions": [[0.500, 0.500, 0.500], [0.000, 0.500, 0.000], [0.500, 0.000, 0.000], [0.000, 0.000, 0.500], [0.000, 0.000, 0.000]], "energy_ev_per_atom": -3.23}

{"formula": "KBaGaSb2", "functional": "PBE", "state": "optimized geometry", "lattice": [[7.104, 0.000, 0.000], [0.000, 6.901, 0.000], [0.000, -3.451, 7.668]], "species": ["Ba", "Ga", "Ga", "Sb", "Sb", "K", "Ba", "Sb", "K", "Sb"], "fractional_positions": [[0.227, 0.750, 0.500], [0.000, 0.000, 0.000], [0.000, 0.500, 0.000], [0.210, 0.360, 0.720], [0.210, 0.140, 0.280], [0.500, 0.750, 0.000], [0.773, 0.250, 0.500], [0.790, 0.640, 0.280], [0.500, 0.250, 0.000], [0.790, 0.860, 0.720]], "raw_formation_energy_ev_per_atom": -0.385}

{"formula": "K2BaGaSb2", "functional": "PBE", "state": "optimized geometry", "lattice": [[-3.877, -5.318, 4.886], [-3.560, -2.971, -6.057], [9.595, -0.997, -0.347]], "species": ["Ga", "Ba", "Ba", "Sb", "K", "K", "Sb", "Sb", "K", "K", "Ga", "Sb"], "fractional_positions": [[0.500, 0.750, 0.000], [0.000, 0.750, 0.000], [0.000, 0.250, 0.000], [0.799, 0.096, 0.193], [0.136, 0.316, 0.632], [0.497, 0.816, 0.632], [0.393, 0.596, 0.193], [0.201, 0.904, 0.807], [0.503, 0.184, 0.368], [0.864, 0.684, 0.368], [0.500, 0.250, 0.000], [0.607, 0.404, 0.807]], "raw_formation_energy_ev_per_atom": -0.463}